Entry 1:
Entry from OQMD: an optimized crystal structure of SmHfCu (PBE).

Results
- energy above the most stable polymorph in this dataset (meV per atom) = 750
- V (Å³/f.u.) = 71.47
- ΔH_f (0 K) (eV per atom) = 1.10

abc: 4.6581 4.6581 4.6581
angles: 60.00 60.00 60.00
Sites, in units of the cell vectors:
Sm 0.0000 0.0000 0.0000
Hf 0.2500 0.2500 0.2500
Cu 0.7500 0.7500 0.7500

***

Entry 2:
Entry from OQMD: an optimized crystal structure of Nd2Si2O7 (PBE).

Results
- V (Å³/f.u.) = 136.81
- E_tot (eV/atom) = -8.16

abc: 6.7006 6.7006 24.3766
angles: 90.00 90.00 90.00
Sites, in units of the cell vectors:
Nd 0.0163 0.6609 0.0000
Nd 0.1749 0.5778 0.3513
Nd 0.2001 0.2429 0.0992
Nd 0.2429 0.7999 0.8492
Nd 0.2585 0.3816 0.7421
Nd 0.3391 0.0163 0.2500
Nd 0.3816 0.7415 0.4921
Nd 0.4222 0.1749 0.6013
Nd 0.5778 0.8251 0.1013
Nd 0.6184 0.2585 0.9921
Nd 0.6609 0.9837 0.7500
Nd 0.7415 0.6184 0.2421
Nd 0.7571 0.2001 0.3492
Nd 0.7999 0.7571 0.5992
Nd 0.8251 0.4222 0.8513
Nd 0.9837 0.3391 0.5000
Si 0.0912 0.1934 0.9652
Si 0.1205 0.7489 0.1251
Si 0.1934 0.9088 0.7152
Si 0.2092 0.4935 0.2234
Si 0.2511 0.1205 0.3751
Si 0.2632 0.6561 0.6170
Si 0.3439 0.2632 0.8670
Si 0.4935 0.7908 0.9734
Si 0.5065 0.2092 0.4734
Si 0.6561 0.7368 0.3670
Si 0.7368 0.3439 0.1170
Si 0.7489 0.8795 0.8751
Si 0.7908 0.5065 0.7234
Si 0.8066 0.0912 0.2152
Si 0.8795 0.2511 0.6251
Si 0.9088 0.8066 0.4652
O 0.0160 0.0295 0.7445
O 0.0295 0.9840 0.4945
O 0.0475 0.4338 0.2704
O 0.0574 0.6150 0.1796
O 0.0690 0.2653 0.3953
O 0.0719 0.1754 0.5914
O 0.0755 0.6397 0.4453
O 0.1150 0.6132 0.5649
O 0.1163 0.7912 0.6583
O 0.1754 0.9281 0.3414
O 0.2054 0.4418 0.8422
O 0.2088 0.1163 0.9083
O 0.2515 0.3169 0.0029
O 0.2584 0.6074 0.0851
O 0.2653 0.9310 0.1453
O 0.3002 0.3034 0.1920
O 0.3034 0.6998 0.9420
O 0.3169 0.7485 0.7529
O 0.3468 0.4656 0.6500
O 0.3549 0.3701 0.5020
O 0.3603 0.0755 0.6953
O 0.3701 0.6451 0.2520
O 0.3850 0.0574 0.4296
O 0.3868 0.1150 0.8149
O 0.3926 0.2584 0.3351
O 0.4338 0.9525 0.0204
O 0.4418 0.7946 0.5922
O 0.4656 0.6532 0.4000
O 0.5344 0.3468 0.9000
O 0.5582 0.2054 0.0922
O 0.5662 0.0475 0.5204
O 0.6074 0.7416 0.8351
O 0.6132 0.8850 0.3149
O 0.6150 0.9426 0.9296
O 0.6299 0.3549 0.7520
O 0.6397 0.9245 0.1953
O 0.6451 0.6299 0.0020
O 0.6532 0.5344 0.1500
O 0.6831 0.2515 0.2529
O 0.6966 0.3002 0.4420
O 0.6998 0.6966 0.6920
O 0.7347 0.0690 0.6453
O 0.7416 0.3926 0.5851
O 0.7485 0.6831 0.5029
O 0.7912 0.8837 0.4083
O 0.7946 0.5582 0.3422
O 0.8246 0.0719 0.8414
O 0.8837 0.2088 0.1583
O 0.8850 0.3868 0.0649
O 0.9245 0.3603 0.9453
O 0.9281 0.8246 0.0914
O 0.9310 0.7347 0.8953
O 0.9426 0.3850 0.6796
O 0.9525 0.5662 0.7704
O 0.9705 0.0160 0.9945
O 0.9840 0.9705 0.2445

***

Entry 3:
Entry from OQMD: an optimized crystal structure of Hf2AgBi (PBE).

Results
- V (Å³/f.u.) = 91.60
- E_tot (eV/atom) = -6.26

abc: 5.0599 5.0599 5.0599
angles: 60.00 60.00 60.00
Sites, in units of the cell vectors:
Hf 0.0000 0.0000 0.0000
Hf 0.2500 0.2500 0.2500
Ag 0.7500 0.7500 0.7500
Bi 0.5000 0.5000 0.5000

***

Entry 4:
Entry from OQMD: an optimized crystal structure of Sr2IrPtN2 (PBE).

Results
- V (Å³/f.u.) = 112.20
- E_tot (eV/atom) = -6.46

abc: 3.7837 3.8477 7.7067
angles: 90.00 90.00 90.00
Sites, in units of the cell vectors:
Sr 0.0000 0.0000 0.2482
Sr 0.0000 0.0000 0.7518
Ir 0.5000 0.5000 0.0000
Pt 0.5000 0.5000 0.5000
N 0.0000 0.5000 0.0000
N 0.5000 0.0000 0.5000

***

Entry 5:
Entry from OQMD: an optimized crystal structure of HfBeGaIr (PBE).

Results
- energy above the most stable polymorph in this dataset (meV per atom) = 0
- V (Å³/f.u.) = 59.48

abc: 4.3815 4.3815 4.3815
angles: 60.00 60.00 60.00
Sites, in units of the cell vectors:
Hf 0.0000 0.0000 0.0000
Be 0.7500 0.7500 0.7500
Ga 0.5000 0.5000 0.5000
Ir 0.2500 0.2500 0.2500

***

Entry 6:
Entry from OQMD: an optimized crystal structure of TaTlCuPd (PBE).

Results
- energy above the most stable polymorph in this dataset (meV per atom) = 88
- V (Å³/f.u.) = 68.71

abc: 4.5973 4.5973 4.5973
angles: 60.00 60.00 60.00
Sites, in units of the cell vectors:
Ta 0.0000 0.0000 0.0000
Tl 0.2500 0.2500 0.2500
Cu 0.5000 0.5000 0.5000
Pd 0.7500 0.7500 0.7500

***

Entry 7:
Entry from OQMD: an optimized crystal structure of Y4Ta2P3C3 (PBE).

Results
- V (Å³/f.u.) = 205.71
- E_tot (eV/atom) = -8.56

abc: 6.1278 6.1278 13.1019
angles: 103.96 103.96 60.56
Sites, in units of the cell vectors:
Y 0.0439 0.2003 0.1120
Y 0.1209 0.2961 0.3878
Y 0.2003 0.0439 0.6120
Y 0.2961 0.1209 0.8878
Y 0.7039 0.8791 0.1122
Y 0.7997 0.9561 0.3880
Y 0.8791 0.7039 0.6122
Y 0.9561 0.7997 0.8880
Ta 0.3603 0.5306 0.0896
Ta 0.4694 0.6397 0.4104
Ta 0.5306 0.3603 0.5896
Ta 0.6397 0.4694 0.9104
P 0.1252 0.8748 0.2500
P 0.2908 0.4166 0.7521
P 0.4166 0.2908 0.2521
P 0.5834 0.7092 0.7479
P 0.7092 0.5834 0.2479
P 0.8748 0.1252 0.7500
C 0.0000 0.5000 0.0000
C 0.2141 0.6430 0.5000
C 0.3570 0.7859 0.0000
C 0.5000 0.0000 0.5000
C 0.6430 0.2141 0.0000
C 0.7859 0.3570 0.5000

***

Entry 8:
Entry from OQMD: an optimized crystal structure of ZrZnCuSb (PBE).

Results
- energy above the most stable polymorph in this dataset (meV per atom) = 58
- V (Å³/f.u.) = 75.17

abc: 4.7373 4.7373 4.7373
angles: 60.00 60.00 60.00
Sites, in units of the cell vectors:
Zr 0.0000 0.0000 0.0000
Zn 0.2500 0.2500 0.2500
Cu 0.7500 0.7500 0.7500
Sb 0.5000 0.5000 0.5000

***

Entry 9:
Entry from OQMD: an optimized crystal structure of Y2Tm4LuNi2Te2 (PBE).

Results
- energy above the most stable polymorph in this dataset (meV per atom) = 3
- V (Å³/f.u.) = 279.69

abc: 9.2559 9.2559 9.2559
angles: 156.23 67.28 118.11
Sites, in units of the cell vectors:
Y 0.1315 0.0000 0.1315
Y 0.8685 0.0000 0.8685
Tm 0.2072 0.8539 0.3533
Tm 0.5007 0.8539 0.6467
Tm 0.5160 0.2011 0.3149
Tm 0.8863 0.2011 0.6851
Lu 0.5804 0.5804 0.0000
Ni 0.2745 0.5097 0.7647
Ni 0.7450 0.5097 0.2353
Te 0.2482 0.2482 0.0000
Te 0.8427 0.3427 0.5000

***

Entry 10:
Entry from OQMD: an optimized crystal structure of Ta4SnGeC2 (PBE).

Results
- V (Å³/f.u.) = 120.77
- E_tot (eV/atom) = -9.72

abc: 3.2428 3.2428 13.2611
angles: 90.00 90.00 120.00
Sites, in units of the cell vectors:
Ta 0.0000 0.0000 0.1501
Ta 0.0000 0.0000 0.8499
Ta 0.3333 0.6667 0.3255
Ta 0.3333 0.6667 0.6745
Sn 0.0000 0.0000 0.5000
Ge 0.3333 0.6667 0.0000
C 0.6667 0.3333 0.2388
C 0.6667 0.3333 0.7612

***

Entry 11:
Entry from OQMD: an optimized crystal structure of DyHfZnCo2 (PBE).

Results
- V (Å³/f.u.) = 83.24
- ΔH_f (0 K) (eV per atom) = -0.30

abc: 5.1146 5.1146 5.1146
angles: 133.69 116.91 81.76
Sites, in units of the cell vectors:
Dy 0.0000 0.0000 0.0000
Hf 0.4170 0.4170 0.0000
Zn 0.7019 0.2019 0.5000
Co 0.4278 0.7132 0.7146
Co 0.9986 0.7132 0.2854

***

Entry 12:
Entry from OQMD: an optimized crystal structure of Lu2Nb4Co3C3 (PBE).

Results
- V (Å³/f.u.) = 170.03
- E_tot (eV/atom) = -8.57

abc: 5.4757 5.4757 13.4934
angles: 102.10 102.10 60.03
Sites, in units of the cell vectors:
Lu 0.0437 0.8780 0.6238
Lu 0.1220 0.9563 0.8762
Lu 0.8780 0.0437 0.1238
Lu 0.9563 0.1220 0.3762
Nb 0.1956 0.3588 0.0910
Nb 0.2959 0.4770 0.4088
Nb 0.3588 0.1956 0.5910
Nb 0.4770 0.2959 0.9088
Nb 0.5230 0.7041 0.0912
Nb 0.6412 0.8044 0.4090
Nb 0.7041 0.5230 0.5912
Nb 0.8044 0.6412 0.9090
Co 0.0857 0.4067 0.7505
Co 0.4067 0.0857 0.2505
Co 0.4222 0.5778 0.2500
Co 0.5778 0.4222 0.7500
Co 0.5933 0.9143 0.7495
Co 0.9143 0.5933 0.2495
C 0.0000 0.5000 0.5000
C 0.1693 0.6613 0.0003
C 0.3387 0.8307 0.4997
C 0.5000 0.0000 0.0000
C 0.6613 0.1693 0.5003
C 0.8307 0.3387 0.9997

***

Entry 13:
Entry from OQMD: an optimized crystal structure of LuPaCd (PBE).

Results
- V (Å³/f.u.) = 86.38
- ΔH_f (0 K) (eV per atom) = 0.91

abc: 4.9619 4.9619 4.9619
angles: 60.00 60.00 60.00
Sites, in units of the cell vectors:
Lu 0.0000 0.0000 0.0000
Pa 0.2500 0.2500 0.2500
Cd 0.7500 0.7500 0.7500

***

Entry 14:
Entry from OQMD: an optimized crystal structure of BeInNi2 (PBE).

Results
- V (Å³/f.u.) = 49.72
- E_tot (eV/atom) = -4.38

abc: 4.1275 4.1275 4.1275
angles: 60.00 60.00 60.00
Sites, in units of the cell vectors:
Be 0.0000 0.0000 0.0000
In 0.7500 0.7500 0.7500
Ni 0.2500 0.2500 0.2500
Ni 0.5000 0.5000 0.5000

***

Entry 15:
Entry from OQMD: an optimized crystal structure of Li4CuSn2Hg (PBE).

Results
- V (Å³/f.u.) = 136.64
- E_tot (eV/atom) = -2.79

abc: 4.5662 4.5662 6.5536
angles: 90.00 90.00 90.00
Sites, in units of the cell vectors:
Li 0.0000 0.0000 0.0000
Li 0.0000 0.5000 0.2344
Li 0.5000 0.0000 0.7656
Li 0.5000 0.5000 0.5000
Cu 0.5000 0.5000 0.0000
Sn 0.0000 0.5000 0.7743
Sn 0.5000 0.0000 0.2257
Hg 0.0000 0.0000 0.5000

***

Entry 16:
Entry from OQMD: an optimized crystal structure of LuNbFe (PBE).

Results
- energy above the most stable polymorph in this dataset (meV per atom) = 0
- V (Å³/f.u.) = 59.87
- ΔH_f (0 K) (eV per atom) = 0.86

abc: 4.3912 4.3912 4.3912
angles: 60.00 60.00 60.00
Sites, in units of the cell vectors:
Lu 0.0000 0.0000 0.0000
Nb 0.7500 0.7500 0.7500
Fe 0.5000 0.5000 0.5000

***

Entry 17:
Entry from OQMD: an optimized crystal structure of BeFeSiIr (PBE).

Results
- energy above the most stable polymorph in this dataset (meV per atom) = 0
- V (Å³/f.u.) = 43.72

abc: 3.9537 3.9537 5.5938
angles: 90.00 90.00 90.00
Sites, in units of the cell vectors:
Be 0.0000 0.5000 0.2490
Be 0.5000 0.0000 0.7510
Fe 0.0000 0.0000 0.5000
Fe 0.5000 0.5000 0.0000
Si 0.0000 0.5000 0.7497
Si 0.5000 0.0000 0.2503
Ir 0.0000 0.0000 0.0000
Ir 0.5000 0.5000 0.5000

***

Entry 18:
Entry from OQMD: an optimized crystal structure of NpCuPt (PBE).

Results
- energy above the most stable polymorph in this dataset (meV per atom) = 0
- V (Å³/f.u.) = 65.03
- ΔH_f (0 K) (eV per atom) = -0.06

abc: 4.5137 4.5137 4.5137
angles: 60.00 60.00 60.00
Sites, in units of the cell vectors:
Np 0.0000 0.0000 0.0000
Cu 0.5000 0.5000 0.5000
Pt 0.7500 0.7500 0.7500

***

Entry 19:
Entry from OQMD: an optimized crystal structure of RbSmSeS (PBE).

Results
- V (Å³/f.u.) = 122.63
- E_tot (eV/atom) = -5.11

abc: 8.2253 8.2253 8.2253
angles: 29.92 29.92 29.92
Sites, in units of the cell vectors:
Rb 0.0000 0.0000 0.0000
Sm 0.5048 0.5048 0.5048
Se 0.7683 0.7683 0.7683
S 0.2330 0.2330 0.2330

***

Entry 20:
Entry from OQMD: an optimized crystal structure of Sc2TaNbGe2 (PBE).

Results
- V (Å³/f.u.) = 114.91
- E_tot (eV/atom) = -7.93

abc: 3.9367 3.9367 7.4147
angles: 90.00 90.00 90.00
Sites, in units of the cell vectors:
Sc 0.0000 0.5000 0.1502
Sc 0.5000 0.0000 0.8498
Ta 0.5000 0.5000 0.5000
Nb 0.0000 0.0000 0.5000
Ge 0.0000 0.5000 0.7668
Ge 0.5000 0.0000 0.2332

***

Entry 21:
Entry from OQMD: an optimized crystal structure of HfN (PBE).

Results
- V (Å³/f.u.) = 23.12
- E_tot (eV/atom) = -10.89

abc: 3.1975 3.1975 3.1975
angles: 60.00 60.00 60.00
Sites, in units of the cell vectors:
Hf 0.0000 0.0000 0.0000
N 0.5000 0.5000 0.5000

***

Entry 22:
Entry from OQMD: an optimized crystal structure of MoN2 (PBE).

Results
- V (Å³/f.u.) = 29.01
- E_tot (eV/atom) = -9.27

abc: 4.2522 2.8782 5.1843
angles: 90.00 113.88 90.00
Sites, in units of the cell vectors:
Mo 0.0115 0.2500 0.2195
Mo 0.9885 0.7500 0.7805
N 0.2948 0.2500 0.6726
N 0.3629 0.7500 0.2052
N 0.6371 0.2500 0.7948
N 0.7052 0.7500 0.3274